Entry 1:
DFT (PBE-GGA) results for a relaxed TaPt crystal. Values from VASP.

Computed properties:
Formation energy ... -327 meV/atom
Space group ... Fd-3m, No. 227
Total moment ... 0.00 μB/f.u.

Geometry as Quantum ESPRESSO input:
```
&SYSTEM
  ibrav = 0, nat = 4, ntyp = 2
/
ATOMIC_SPECIES
Pt 195.08 Pt.upf
Ta 180.95 Ta.upf
CELL_PARAMETERS angstrom
-3.596 -2.792 -0.157
-0.740 -2.554 -3.698
0.609 -4.510 0.188
ATOMIC_POSITIONS crystal
Pt 0.375 0.375 0.375
Pt 0.625 0.625 0.625
Ta 0.125 0.125 0.125
Ta 0.875 0.875 0.875
```

Entry 2:
DFT (PBE-GGA) results for a relaxed Ta6Pt7 crystal. Values from VASP.

Computed properties:
Formation energy ... -446 meV/atom
Space group ... R-3m, No. 166
Total moment ... 0.33 μB/f.u.

Geometry as Quantum ESPRESSO input:
```
&SYSTEM
  ibrav = 0, nat = 13, ntyp = 2
/
ATOMIC_SPECIES
Pt 195.08 Pt.upf
Ta 180.95 Ta.upf
CELL_PARAMETERS angstrom
-5.732 -7.842 0.844
-3.793 -8.038 -4.010
-0.914 -9.708 0.026
ATOMIC_POSITIONS crystal
Pt 0.915 0.414 0.414
Pt 0.414 0.414 0.915
Pt 0.414 0.915 0.414
Pt 0.085 0.586 0.586
Pt 0.586 0.085 0.586
Pt 0.586 0.586 0.085
Pt 0.500 0.500 0.500
Ta 0.953 0.953 0.953
Ta 0.047 0.047 0.047
Ta 0.846 0.846 0.846
Ta 0.154 0.154 0.154
Ta 0.667 0.667 0.667
Ta 0.333 0.333 0.333
```

Entry 3:
DFT (PBE-GGA) results for a relaxed Ta3Pt crystal. Values from VASP.

Computed properties:
Formation energy ... -315 meV/atom
Space group ... Cmcm, No. 63
Total moment ... 0.00 μB/f.u.

Geometry as Quantum ESPRESSO input:
```
&SYSTEM
  ibrav = 0, nat = 8, ntyp = 2
/
ATOMIC_SPECIES
Pt 195.08 Pt.upf
Ta 180.95 Ta.upf
CELL_PARAMETERS angstrom
-4.828 -3.042 0.130
-1.101 -2.348 5.085
-2.384 3.837 1.255
ATOMIC_POSITIONS crystal
Pt 0.343 0.343 0.250
Pt 0.657 0.657 0.750
Ta 0.149 0.626 0.750
Ta 0.125 0.125 0.750
Ta 0.374 0.851 0.250
Ta 0.626 0.149 0.750
Ta 0.875 0.875 0.250
Ta 0.851 0.374 0.250
```

Entry 4:
DFT (PBE-GGA) results for a relaxed TaPt3 crystal. Values from VASP.

Computed properties:
Formation energy ... -356 meV/atom
Space group ... P-6m2, No. 187
Total moment ... 0.00 μB/f.u.

Geometry as Quantum ESPRESSO input:
```
&SYSTEM
  ibrav = 0, nat = 4, ntyp = 2
/
ATOMIC_SPECIES
Pt 195.08 Pt.upf
Ta 180.95 Ta.upf
CELL_PARAMETERS angstrom
-1.673 -2.243 0.596
2.321 -0.342 -1.638
5.023 -1.759 7.486
ATOMIC_POSITIONS crystal
Pt 0.000 0.000 0.989
Pt 0.000 0.000 0.511
Pt 0.333 0.667 0.250
Ta 0.333 0.667 0.750
```

Entry 5:
DFT (PBE-GGA) results for a relaxed TaPt crystal. Values from VASP.

Computed properties:
Formation energy ... -574 meV/atom
Space group ... C2/m, No. 12
Total moment ... 0.00 μB/f.u.

Geometry as Quantum ESPRESSO input:
```
&SYSTEM
  ibrav = 0, nat = 4, ntyp = 2
/
ATOMIC_SPECIES
Pt 195.08 Pt.upf
Ta 180.95 Ta.upf
CELL_PARAMETERS angstrom
2.903 0.000 0.000
-1.451 4.680 -0.008
0.000 -0.929 4.943
ATOMIC_POSITIONS crystal
Pt 0.247 0.494 0.729
Pt 0.003 0.006 0.021
Ta 0.499 0.997 0.529
Ta 0.751 0.503 0.221
```

Entry 6:
DFT (PBE-GGA) results for a relaxed Ta2Pt crystal. Values from VASP.

Computed properties:
Formation energy ... -178 meV/atom
Space group ... P-3m1, No. 164
Total moment ... 0.00 μB/f.u.

Geometry as Quantum ESPRESSO input:
```
&SYSTEM
  ibrav = 0, nat = 3, ntyp = 2
/
ATOMIC_SPECIES
Pt 195.08 Pt.upf
Ta 180.95 Ta.upf
CELL_PARAMETERS angstrom
2.895 0.000 0.000
-1.448 2.508 0.000
0.000 0.000 7.195
ATOMIC_POSITIONS crystal
Pt 0.000 0.000 0.000
Ta 0.333 0.667 0.323
Ta 0.667 0.333 0.677
```

Electronic total energy
In order: -9.2738; -9.1691; -10.7149; -7.8500; -9.5209; -10.0935
Unit: eV per atom